Computed, not measured: MgZn5Ni4 after structural relaxation at the PBE level of DFT.

Cell and atoms, written as POSCAR:
```
MgZn5Ni4
1.0
2.964 0.000 0.000
0.000 2.964 0.000
0.000 0.000 14.943
Ni Zn Mg
4 5 1
Cartesian
0.000 0.000 8.863
0.000 0.000 3.285
0.000 0.000 6.080
0.000 0.000 11.657
1.482 1.482 4.687
1.482 1.482 13.025
1.482 1.482 1.918
1.482 1.482 7.471
1.482 1.482 10.256
0.000 0.000 0.000
```

**SG**: P4/mmm
**DOS(E_F)**: 3.844 states/eV/f.u.



Computed, not measured: MgZn10Ni2 after structural relaxation at the PBE level of DFT.

Cell and atoms, written as POSCAR:
```
MgZn10Ni2
1.0
-4.947 -0.120 0.968
-1.525 -4.219 4.816
-1.753 4.532 4.735
Ni Zn Mg
2 10 1
Cartesian
-3.236 -2.170 2.892
-0.762 -2.109 2.408
-4.057 -2.404 5.230
-0.877 2.266 2.368
-3.350 2.206 2.851
-4.167 2.598 5.289
-4.375 -0.122 3.887
-1.631 -1.251 4.642
-3.849 0.315 6.631
-2.114 -0.021 2.326
-6.111 0.214 8.193
-6.594 1.444 5.876
0.000 0.000 0.000
```

**SG**: Fmmm
**DOS(E_F)**: 4.063 states/eV/f.u.



Computed, not measured: Mg2Zn2Ni3 after structural relaxation at the PBE level of DFT.

Cell and atoms, written as POSCAR:
```
Mg2Zn2Ni3
1.0
-2.179 -0.383 -3.692
2.371 -3.231 1.368
-4.330 -1.042 5.119
Ni Zn Mg
3 2 2
Cartesian
-3.865 -1.879 2.335
-0.273 -2.776 0.459
0.000 0.000 0.000
-2.194 -3.758 1.540
-1.944 -0.897 1.254
-1.523 -1.716 -1.425
-2.615 -2.939 4.219
```

**SG**: P-1
**DOS(E_F)**: 3.732 states/eV/f.u.



Computed, not measured: MgZnNi after structural relaxation at the PBE level of DFT.

Cell and atoms, written as POSCAR:
```
MgZnNi
1.0
4.754 -0.641 -1.034
-2.647 5.401 0.237
-0.540 2.570 4.146
Ni Zn Mg
2 2 2
Cartesian
3.332 1.342 2.164
1.227 0.378 0.610
0.955 1.663 2.683
3.604 0.057 0.092
2.280 2.759 0.210
-0.367 4.362 2.801
```

**SG**: Pmmm
**DOS(E_F)**: 1.220 states/eV/f.u.



Computed, not measured: MgZn3Ni after structural relaxation at the PBE level of DFT.

Cell and atoms, written as POSCAR:
```
MgZn3Ni
1.0
4.882 0.000 0.000
0.000 4.882 0.000
-2.441 -2.441 8.196
Zn Ni Mg
6 2 2
Cartesian
2.441 2.441 3.625
1.217 2.441 6.147
0.000 1.224 2.049
0.000 3.658 2.049
-1.217 2.441 6.147
0.000 0.000 4.571
0.000 2.441 4.098
0.000 0.000 0.000
2.441 0.000 0.668
2.441 0.000 7.528
```

**SG**: I-4m2
**DOS(E_F)**: 1.784 states/eV/f.u.
**ΔE to the lowest computed polymorph**: 136.8 meV/atom



Computed, not measured: MgZn3Ni2 after structural relaxation at the PBE level of DFT.

Cell and atoms, written as POSCAR:
```
MgZn3Ni2
1.0
5.503 0.000 0.000
2.751 4.765 0.000
2.751 1.588 6.344
Ni Mg Zn
4 2 6
Cartesian
1.376 2.383 0.000
4.127 2.383 0.000
2.751 0.000 0.000
0.000 0.000 0.000
2.751 1.588 2.066
8.254 4.765 4.278
5.503 4.738 4.390
6.855 2.396 4.390
5.503 1.616 1.954
4.150 3.958 1.954
4.150 2.396 4.390
6.855 3.958 1.954
```

**SG**: R-3m
**DOS(E_F)**: 2.675 states/eV/f.u.



no.,ΔH_f (0 K) (kJ/mol of formula units)
1,-189
2,-132
3,-81
4,-42
5,-10
6,-54